1.
# ZnSi3W (GGA-PBE, relaxed)
# Total DFT energy (no corrections) = -4.475 eV per atom
# M_tot = 0.0000 μB per atom
# Formation energy from raw total energies = 1.6241 eV per atom
# Excess energy over the best structure of this formula in the dataset = 1039.1 meV per atom
# Calculated density = 6.2 g/cm3
data_ZnSi3W
_space_group_name_H-M_alt 'P m -3 m'
_space_group_IT_number 221
_space_group_name_Hall '-P 4 2 3'
_cell_length_a 4.472
_cell_length_b 4.472
_cell_length_c 4.472
_cell_angle_alpha 90.00
_cell_angle_beta 90.00
_cell_angle_gamma 90.00
loop_
_atom_site_label
_atom_site_fract_x
_atom_site_fract_y
_atom_site_fract_z
Zn1 0.000 0.000 0.000
Si1 0.000 0.000 0.500
W1 0.500 0.500 0.500


2.
# Sr2CaSb3Pt4 (GGA-PBE, relaxed)
# Total DFT energy (no corrections) = -5.042 eV per atom
# M_tot = 0.0000 μB per atom
# Formation energy from raw total energies = -0.8527 eV per atom
# Calculated density = 9.3 g/cm3
data_Sr2CaSb3Pt4
_space_group_name_H-M_alt 'P -4 m 2'
_space_group_IT_number 115
_space_group_name_Hall 'P -4 -2'
_cell_length_a 4.658
_cell_length_b 4.658
_cell_length_c 11.201
_cell_angle_alpha 90.00
_cell_angle_beta 90.00
_cell_angle_gamma 90.00
loop_
_atom_site_label
_atom_site_fract_x
_atom_site_fract_y
_atom_site_fract_z
Sr1 0.000 0.500 0.229
Ca1 0.000 0.000 0.500
Sb1 0.000 0.500 0.877
Sb2 0.500 0.500 0.500
Pt1 0.000 0.000 0.000
Pt2 0.000 0.500 0.644
Pt3 0.500 0.500 0.000


3.
# La8AsS3Cl4 (GGA-PBE, relaxed)
# Total DFT energy (no corrections) = -5.818 eV per atom
# M_tot = 0.0000 μB per atom
# Formation energy from raw total energies = -1.8285 eV per atom
# Calculated density = 5.7 g/cm3
data_La8AsS3Cl4
_space_group_name_H-M_alt 'R -3 m'
_space_group_IT_number 166
_space_group_name_Hall '-R 3 2"'
_cell_length_a 8.3850
_cell_length_b 8.3850
_cell_length_c 20.5050
_cell_angle_alpha 90.00
_cell_angle_beta 90.00
_cell_angle_gamma 120.00
loop_
_atom_site_label
_atom_site_fract_x
_atom_site_fract_y
_atom_site_fract_z
La1 0.0000 0.0000 0.2430
La2 0.0082 0.5041 0.7550
As1 0.0000 0.0000 0.5000
S1 0.0000 0.5000 0.5000
Cl1 0.0000 0.0000 0.0000
Cl2 0.0000 0.5000 0.0000


4.
# KSi2Cl (GGA-PBE, relaxed)
# Total DFT energy (no corrections) = -3.484 eV per atom
# M_tot = 0.0000 μB per atom
# Formation energy from raw total energies = -0.0368 eV per atom
# Excess energy over the best structure of this formula in the dataset = 392.7 meV per atom
# Calculated density = 1.8 g/cm3
data_KSi2Cl
_space_group_name_H-M_alt 'I m m 2'
_space_group_IT_number 44
_space_group_name_Hall 'I 2 -2'
_cell_length_a 3.803
_cell_length_b 7.107
_cell_length_c 9.033
_cell_angle_alpha 90.00
_cell_angle_beta 90.00
_cell_angle_gamma 90.00
loop_
_atom_site_label
_atom_site_fract_x
_atom_site_fract_y
_atom_site_fract_z
K1 0.000 0.000 0.000
Si1 0.000 0.000 0.479
Si2 0.000 0.500 0.844
Cl1 0.000 0.500 0.239


5.
# Pm2HoTe (GGA-PBE, relaxed)
# Total DFT energy (no corrections) = -4.848 eV per atom
# M_tot = 0.0620 μB per atom
# Formation energy from raw total energies = -0.5427 eV per atom
# Excess energy over the best structure of this formula in the dataset = 32.0 meV per atom
# Calculated density = 7.2 g/cm3
data_Pm2HoTe
_space_group_name_H-M_alt 'R 3 m'
_space_group_IT_number 160
_space_group_name_Hall 'R 3 -2"'
_cell_length_a 3.9734
_cell_length_b 3.9734
_cell_length_c 29.5113
_cell_angle_alpha 90.00
_cell_angle_beta 90.00
_cell_angle_gamma 120.00
loop_
_atom_site_label
_atom_site_fract_x
_atom_site_fract_y
_atom_site_fract_z
Pm1 0.0000 0.0000 0.0000
Pm2 0.0000 0.0000 0.1878
Ho1 0.0000 0.0000 0.4269
Te1 0.0000 0.0000 0.5940


6.
# TcNiP2Se (GGA-PBE, relaxed)
# Total DFT energy (no corrections) = -6.380 eV per atom
# M_tot = 0.0000 μB per atom
# Formation energy from raw total energies = -0.2902 eV per atom
# Excess energy over the best structure of this formula in the dataset = 0.0 meV per atom
# Calculated density = 6.4 g/cm3
data_TcNiP2Se
_space_group_name_H-M_alt 'P 3 m 1'
_space_group_IT_number 156
_space_group_name_Hall 'P 3 -2"'
_cell_length_a 3.3865
_cell_length_b 3.3865
_cell_length_c 7.7550
_cell_angle_alpha 90.00
_cell_angle_beta 90.00
_cell_angle_gamma 120.00
loop_
_atom_site_label
_atom_site_fract_x
_atom_site_fract_y
_atom_site_fract_z
Tc1 0.0000 0.0000 0.0000
Ni1 0.0000 0.0000 0.3444
P1 0.3333 0.6667 0.1833
P2 0.3333 0.6667 0.8115
Se1 0.6667 0.3333 0.5210


7.
# PmNdBi (GGA-PBE, relaxed)
# Total DFT energy (no corrections) = -4.765 eV per atom
# M_tot = 0.0000 μB per atom
# Energy relative to the elements = -0.299 eV/atom
# Excess energy over the best structure of this formula in the dataset = 371.7 meV per atom
# Calculated density = 8.2 g/cm3
data_PmNdBi
_space_group_name_H-M_alt 'P 3 m 1'
_space_group_IT_number 156
_space_group_name_Hall 'P 3 -2"'
_cell_length_a 5.3628
_cell_length_b 5.3628
_cell_length_c 4.0309
_cell_angle_alpha 90.00
_cell_angle_beta 90.00
_cell_angle_gamma 120.00
loop_
_atom_site_label
_atom_site_fract_x
_atom_site_fract_y
_atom_site_fract_z
Pm1 0.0000 0.0000 0.0000
Nd1 0.3333 0.6667 0.4683
Bi1 0.6667 0.3333 0.7486


8.
# ZnP2Ru (GGA-PBE, relaxed)
# Total DFT energy (no corrections) = -5.466 eV per atom
# M_tot = 0.0000 μB per atom
# Energy relative to the elements = -0.124 eV/atom
# Calculated density = 6.0 g/cm3
data_ZnP2Ru
_space_group_name_H-M_alt 'A m m 2'
_space_group_IT_number 38
_space_group_name_Hall 'A 2 -2'
_cell_length_a 3.426
_cell_length_b 2.835
_cell_length_c 13.053
_cell_angle_alpha 90.00
_cell_angle_beta 90.00
_cell_angle_gamma 90.00
loop_
_atom_site_label
_atom_site_fract_x
_atom_site_fract_y
_atom_site_fract_z
Zn1 0.000 0.000 0.000
P1 0.000 0.000 0.818
P2 0.500 0.000 0.591
Ru1 0.500 0.000 0.240